# Li3Ac2Ni2

A relaxed Li3Ac2Ni2 crystal (GGA-PBE, the Alexandria database).

Unit cell a=4.1168 b=5.6911 c=7.4511 alpha=95.53 beta=90.00 gamma=111.20
Element x y z (fractional)
Li (0.0000, 0.0000, 0.0000)
Li (0.6678, 0.3356, 0.8653)
Li (0.3322, 0.6644, 0.1347)
Ni (0.0783, 0.1567, 0.6417)
Ni (0.9217, 0.8433, 0.3583)
Ac (0.3719, 0.7438, 0.6505)
Ac (0.6281, 0.2562, 0.3495)

* VASP energy: -0.13755 Ha/atom
* SG: C2/m (12)